P.
Rb2MoF: relaxed, PBE with a Hubbard U.

Lattice parameters (Å, degrees): 8.5899 8.5899 8.5899 90.00 90.00 90.00
Last column: nearest neighbours and their distance in Å.
Space group Fm-3m (No. 225)
Unique sites:
Rb 0.2500 0.2500 0.2500 [8 per cell]  4 Mo 3.72, 4 F 3.72
Mo 0.0000 0.0000 0.0000 [4 per cell]  8 Rb 3.72
F 0.0000 0.0000 0.5000 [4 per cell]  8 Rb 3.72

The calculation puts the spin magnetization at 5.00 μB/f.u. The density of states at the Fermi level is 0.000 states/eV/cell.

---

Q.
Rb2MoF: relaxed, PBE with a Hubbard U.

Lattice parameters (Å, degrees): 8.4041 8.4041 10.0745 90.00 90.00 90.00
Last column: nearest neighbours and their distance in Å.
Space group I-42d (No. 122)
Unique sites:
Rb 0.1278 0.2500 0.1250 [8 per cell]  2 F 2.67
Mo 0.0000 0.0000 0.5000 [4 per cell]  4 Rb 3.97
F 0.0000 0.0000 0.0000 [4 per cell]  4 Rb 2.67

The calculation puts the spin magnetization at 5.11 μB/f.u. The density of states at the Fermi level is 4.711 states/eV/cell.

---

Most stable to least stable: Q, P

---

P.
RbMo2F: relaxed, PBE with a Hubbard U.

Lattice parameters (Å, degrees): 7.1575 7.1575 11.5610 90.00 90.00 90.00
Last column: nearest neighbours and their distance in Å.
Space group I4_1/amd (No. 141, origin choice 2)
Unique sites:
Rb 0.0000 0.2500 0.3750 [4 per cell]  12 Mo 4.25-4.69, 4 F 4.60, 4 Rb 4.60
Mo 0.0000 0.0000 0.0000 [8 per cell]  2 F 2.30
F 0.0000 0.2500 0.8750 [4 per cell]  4 Mo 2.30

The calculation puts the spin magnetization at 8.80 μB/f.u. The density of states at the Fermi level is 8.844 states/eV/cell.

---

Q.
RbMo2F: relaxed, PBE with a Hubbard U.

Lattice parameters (Å, degrees): 7.9727 7.9727 7.9727 90.00 90.00 90.00
Last column: nearest neighbours and their distance in Å.
Space group Fm-3m (No. 225)
Unique sites:
Rb 0.0000 0.0000 0.0000 [4 per cell]  8 Mo 3.45
Mo 0.2500 0.2500 0.2500 [8 per cell]  4 Rb 3.45, 4 F 3.45
F 0.0000 0.0000 0.5000 [4 per cell]  8 Mo 3.45

The calculation puts the spin magnetization at 11.11 μB/f.u. The density of states at the Fermi level is 7.400 states/eV/cell.

---

Most stable to least stable: P, Q